(1)
! Y4S3N2, relaxed, DFT GGA-PBEsol; values from VASP
&SYSTEM
  ibrav = 0, nat = 36, ntyp = 3
/
ATOMIC_SPECIES
N 14.01 N.upf
Y 88.91 Y.upf
S 32.06 S.upf
ATOMIC_POSITIONS crystal
N 0.949 0.529 0.122
N 0.449 0.971 0.378
N 0.551 0.029 0.622
N 0.551 0.029 0.878
N 0.449 0.971 0.122
N 0.949 0.529 0.378
N 0.051 0.471 0.878
N 0.051 0.471 0.622
Y 0.841 0.622 0.955
Y 0.618 0.840 0.250
Y 0.659 0.122 0.045
Y 0.159 0.378 0.045
Y 0.714 0.462 0.250
Y 0.214 0.038 0.250
Y 0.118 0.660 0.250
Y 0.382 0.160 0.750
Y 0.841 0.622 0.545
Y 0.341 0.878 0.955
Y 0.286 0.538 0.750
Y 0.341 0.878 0.545
Y 0.159 0.378 0.455
Y 0.659 0.122 0.455
Y 0.786 0.962 0.750
Y 0.882 0.340 0.750
S 0.546 0.360 0.588
S 0.046 0.140 0.912
S 0.954 0.860 0.412
S 0.954 0.860 0.088
S 0.604 0.717 0.750
S 0.896 0.217 0.250
S 0.046 0.140 0.588
S 0.454 0.640 0.088
S 0.396 0.283 0.250
S 0.104 0.783 0.750
S 0.454 0.640 0.412
S 0.546 0.360 0.912
CELL_PARAMETERS angstrom
6.495 0.000 0.000
0.000 9.935 0.000
0.000 0.000 10.905
! Total DFT energy (no corrections), eV per cell: -301.1
! Magnetization, μB per formula unit: 0.00
! Polymorph energy (0 for the lowest one), meV/atom: 71

(2)
! YSN2, relaxed, DFT GGA-PBEsol; values from VASP
&SYSTEM
  ibrav = 0, nat = 8, ntyp = 3
/
ATOMIC_SPECIES
S 32.06 S.upf
Y 88.91 Y.upf
N 14.01 N.upf
ATOMIC_POSITIONS crystal
S 0.500 0.500 0.000
S 0.750 0.250 0.500
Y 0.000 0.000 0.000
Y 0.250 0.750 0.500
N 0.625 0.574 0.750
N 0.426 0.875 0.250
N 0.125 0.176 0.750
N 0.824 0.375 0.250
CELL_PARAMETERS angstrom
4.521 0.000 0.000
0.000 4.521 0.000
-2.260 -2.260 5.716
! Total DFT energy (no corrections), eV per cell: -55.8
! Magnetization, μB per formula unit: 0.00

(3)
! Y4S3N2, relaxed, DFT GGA-PBEsol; values from VASP
&SYSTEM
  ibrav = 0, nat = 9, ntyp = 3
/
ATOMIC_SPECIES
N 14.01 N.upf
Y 88.91 Y.upf
S 32.06 S.upf
ATOMIC_POSITIONS crystal
N 0.644 0.073 0.639
N 0.356 0.927 0.361
Y 0.436 0.272 0.856
Y 0.760 0.130 0.351
Y 0.564 0.728 0.144
Y 0.240 0.870 0.649
S 0.000 0.000 0.000
S 0.174 0.436 0.216
S 0.826 0.564 0.784
CELL_PARAMETERS angstrom
-1.119 -2.256 2.832
-2.322 -5.570 -2.818
6.343 -4.417 1.523
! Total DFT energy (no corrections), eV per cell: -75.9
! Magnetization, μB per formula unit: 0.00
! Polymorph energy (0 for the lowest one), meV/atom: 0

(4)
! Zn3SN, relaxed, DFT GGA-PBEsol; values from VASP
&SYSTEM
  ibrav = 0, nat = 5, ntyp = 3
/
ATOMIC_SPECIES
S 32.06 S.upf
Zn 65.41 Zn.upf
N 14.01 N.upf
ATOMIC_POSITIONS crystal
S 0.500 0.500 0.500
Zn 0.000 0.500 0.000
Zn 0.000 0.000 0.500
Zn 0.500 0.000 0.000
N 0.000 0.000 0.000
CELL_PARAMETERS angstrom
4.113 0.000 0.000
0.000 4.113 0.000
0.000 0.000 4.113
! Total DFT energy (no corrections), eV per cell: -17.1
! Magnetization, μB per formula unit: 0.00
! Polymorph energy (0 for the lowest one), meV/atom: 0

(5)
! Zn3SN, relaxed, DFT GGA-PBEsol; values from VASP
&SYSTEM
  ibrav = 0, nat = 5, ntyp = 3
/
ATOMIC_SPECIES
Zn 65.41 Zn.upf
N 14.01 N.upf
S 32.06 S.upf
ATOMIC_POSITIONS crystal
Zn 0.000 0.500 0.000
Zn 0.000 0.000 0.500
Zn 0.500 0.000 0.000
N 0.500 0.500 0.500
S 0.000 0.000 0.000
CELL_PARAMETERS angstrom
4.464 0.000 0.000
0.000 4.464 0.000
0.000 0.000 4.464
! Total DFT energy (no corrections), eV per cell: -11.2
! Magnetization, μB per formula unit: 0.00
! Polymorph energy (0 for the lowest one), meV/atom: 1181

(6)
! ZrS2N2, relaxed, DFT GGA-PBEsol; values from VASP
&SYSTEM
  ibrav = 0, nat = 5, ntyp = 3
/
ATOMIC_SPECIES
S 32.06 S.upf
N 14.01 N.upf
Zr 91.22 Zr.upf
ATOMIC_POSITIONS crystal
S 0.000 0.000 0.000
S 0.000 0.000 0.500
N 0.000 0.500 0.000
N 0.500 0.000 0.000
Zr 0.500 0.500 0.500
CELL_PARAMETERS angstrom
-1.252 3.427 -0.636
-0.778 -0.933 -3.499
-3.933 -1.214 1.198
! Total DFT energy (no corrections), eV per cell: -32.7
! Magnetization, μB per formula unit: 0.00

(7)
! Zr2SN, relaxed, DFT GGA-PBEsol; values from VASP
&SYSTEM
  ibrav = 0, nat = 4, ntyp = 3
/
ATOMIC_SPECIES
Zr 91.22 Zr.upf
S 32.06 S.upf
N 14.01 N.upf
ATOMIC_POSITIONS crystal
Zr 0.250 0.250 0.250
Zr 0.750 0.750 0.750
S 0.500 0.500 0.500
N 0.000 0.000 0.000
CELL_PARAMETERS angstrom
-2.457 3.436 -0.624
-4.252 -0.360 0.150
-2.172 1.693 3.263
! Total DFT energy (no corrections), eV per cell: -35.3
! Magnetization, μB per formula unit: 0.00

(8)
! ScSb2N, relaxed, DFT GGA-PBEsol; values from VASP
&SYSTEM
  ibrav = 0, nat = 8, ntyp = 3
/
ATOMIC_SPECIES
Sb 121.76 Sb.upf
N 14.01 N.upf
Sc 44.96 Sc.upf
ATOMIC_POSITIONS crystal
Sb 0.583 0.208 0.125
Sb 0.417 0.542 0.625
Sb 0.083 0.875 0.458
Sb 0.917 0.375 0.792
N 0.000 0.500 0.500
N 0.500 0.250 0.750
Sc 0.000 0.000 0.000
Sc 0.500 0.750 0.250
CELL_PARAMETERS angstrom
-1.698 -5.284 2.329
-1.049 0.482 -5.907
5.940 0.944 0.239
! Total DFT energy (no corrections), eV per cell: -47.6
! Magnetization, μB per formula unit: 0.00

(9)
! SnSbSe2N, relaxed, DFT GGA-PBEsol; values from VASP
&SYSTEM
  ibrav = 0, nat = 5, ntyp = 4
/
ATOMIC_SPECIES
Se 78.96 Se.upf
Sn 118.71 Sn.upf
Sb 121.76 Sb.upf
N 14.01 N.upf
ATOMIC_POSITIONS crystal
Se 0.000 0.000 0.500
Se 0.000 0.500 0.000
Sn 0.000 0.000 0.000
Sb 0.500 0.500 0.500
N 0.500 0.000 0.000
CELL_PARAMETERS angstrom
-0.202 -3.762 -1.037
4.499 -0.978 2.673
-2.833 -1.056 4.382
! Total DFT energy (no corrections), eV per cell: -22.0
! Magnetization, μB per formula unit: 0.56

(10)
! ZrSbSeN2, relaxed, DFT GGA-PBEsol; values from VASP
&SYSTEM
  ibrav = 0, nat = 5, ntyp = 4
/
ATOMIC_SPECIES
N 14.01 N.upf
Sb 121.76 Sb.upf
Se 78.96 Se.upf
Zr 91.22 Zr.upf
ATOMIC_POSITIONS crystal
N 0.000 0.500 0.000
N 0.500 0.000 0.000
Sb 0.500 0.500 0.500
Se 0.000 0.000 0.500
Zr 0.000 0.000 0.000
CELL_PARAMETERS angstrom
4.154 0.000 0.000
0.000 4.154 0.000
0.000 0.000 5.368
! Total DFT energy (no corrections), eV per cell: -33.5
! Magnetization, μB per formula unit: 0.66

Computed energy relative to the elements, uncorrected (eV/atom) in order:
-1.975 0.091 -2.046 0.108 1.289 0.446 -1.062 0.113 0.610 0.209